Entry 1:
RbBiI6 | PBE | optimized geometry

Computed properties:
calculated volume = 78.22 Å³/atom
E = -2.097 eV per atom

a b c (Å): 9.6009 9.6009 9.6009
angles (deg): 60.00 60.00 60.00
Last column: nearest neighbours and their distance in Å.
Fractional coordinates of all 8 atoms:
I  0.2254  0.2254  0.7746  1 Bi 3.06
I  0.2254  0.7746  0.7746  1 Bi 3.06
I  0.2254  0.7746  0.2254  1 Bi 3.06
I  0.7746  0.2254  0.7746  1 Bi 3.06
I  0.7746  0.7746  0.2254  1 Bi 3.06
I  0.7746  0.2254  0.2254  1 Bi 3.06
Bi  0.0000  0.0000  0.0000  6 I 3.06
Rb  0.5000  0.5000  0.5000  6 I 3.73

Entry 2:
RbBiI2 | PBE | optimized geometry

Computed properties:
distance to the lowest polymorph of the same formula = 235 meV/atom
calculated volume = 60.93 Å³/atom

a b c (Å): 5.4945 5.4945 9.8476
angles (deg): 73.80 73.80 60.00
Last column: nearest neighbours and their distance in Å.
Fractional coordinates of all 4 atoms:
I  0.1230  0.1230  0.6311  3 Bi 3.40, 1 Rb 3.44
I  0.8770  0.8770  0.3689  3 Bi 3.40, 1 Rb 3.44
Bi  0.5000  0.5000  0.5000  6 I 3.40
Rb  0.0000  0.0000  0.0000  2 I 3.44

Entry 3:
RbBi2I | PBE | optimized geometry

Computed properties:
calculated volume = 37.38 Å³/atom
E = -2.320 eV per atom

a b c (Å): 5.9578 5.9578 5.9578
angles (deg): 60.00 60.00 60.00
Last column: nearest neighbours and their distance in Å.
Fractional coordinates of all 4 atoms:
Bi  0.7500  0.7500  0.7500  4 Rb 3.65, 4 I 3.65
Bi  0.2500  0.2500  0.2500  4 I 3.65, 4 Rb 3.65
Rb  0.0000  0.0000  0.0000  8 Bi 3.65
I  0.5000  0.5000  0.5000  8 Bi 3.65

Entry 4:
Rb2BiI5 | PBE | optimized geometry

Computed properties:
distance to the lowest polymorph of the same formula = 13 meV/atom
calculated volume = 53.13 Å³/atom

a b c (Å): 9.0547 9.0562 8.2378
angles (deg): 123.34 123.33 90.01
Last column: nearest neighbours and their distance in Å.
Fractional coordinates of all 8 atoms:
I  0.2539  0.2539  0.0258  1 Bi 3.09
I  0.2539  0.7721  0.0260  1 Bi 3.09
I  0.7720  0.7720  0.0259  1 Bi 3.09
I  0.7196  0.7196  0.4392  1 Bi 2.84
I  0.7721  0.2539  0.0260  1 Bi 3.09
Rb  0.7561  0.2561  0.5122  10 I 4.08-4.54
Rb  0.2561  0.7561  0.5122  10 I 4.08-4.54
Bi  0.9934  0.9934  0.9868  5 I 2.84-3.09

Entry 5:
RbBiI4 | PBE | optimized geometry

Computed properties:
distance to the lowest polymorph of the same formula = 23 meV/atom
calculated volume = 51.45 Å³/atom

a b c (Å): 4.6343 7.7597 9.2787
angles (deg): 103.32 89.99 107.55
Last column: nearest neighbours and their distance in Å.
Fractional coordinates of all 6 atoms:
I  0.1298  0.2562  0.3165  1 Bi 3.09
I  0.6236  0.2450  0.9130  2 Bi 3.16
I  0.3762  0.7550  0.0870  2 Bi 3.16
I  0.8703  0.7437  0.6835  1 Bi 3.09
Rb  0.5001  0.9999  0.4999  6 I 3.66-3.82
Bi  0.9999  0.0000  0.0000  6 I 3.09-3.16

Entry 6:
Rb2BiI6 | PBE | optimized geometry

Computed properties:
distance to the lowest polymorph of the same formula = 0 meV/atom
calculated volume = 49.32 Å³/atom

a b c (Å): 8.8550 8.7286 11.5415
angles (deg): 90.00 95.59 90.00
Last column: nearest neighbours and their distance in Å.
Fractional coordinates of all 18 atoms:
Rb  0.4808  0.1065  0.2771  7 I 3.70-4.11
Rb  0.5192  0.8935  0.7229  7 I 3.70-4.11
Rb  0.9808  0.3935  0.7771  7 I 3.70-4.11
Rb  0.0192  0.6065  0.2229  7 I 3.70-4.11
I  0.6058  0.5431  0.2580  1 Bi 3.06
I  0.1868  0.3008  0.4893  1 Bi 3.11
I  0.2202  0.3150  0.0621  1 Bi 3.10
I  0.6868  0.1992  0.9893  1 Bi 3.11
I  0.1058  0.9569  0.7580  1 Bi 3.06
I  0.2798  0.8150  0.4379  1 Bi 3.10
I  0.3132  0.8008  0.0107  1 Bi 3.11
I  0.8942  0.0431  0.2420  1 Bi 3.06
I  0.7202  0.1850  0.5621  1 Bi 3.10
I  0.8132  0.6992  0.5107  1 Bi 3.11
I  0.3942  0.4569  0.7420  1 Bi 3.06
I  0.7798  0.6850  0.9379  1 Bi 3.10
Bi  0.0000  0.0000  0.5000  6 I 3.06-3.11
Bi  0.5000  0.5000  0.0000  6 I 3.06-3.11

Entry 7:
RbBiI3 | PBE | optimized geometry

Computed properties:
distance to the lowest polymorph of the same formula = 55 meV/atom
calculated volume = 52.67 Å³/atom

a b c (Å): 5.7830 10.1686 9.6350
angles (deg): 68.47 92.00 90.44
Last column: nearest neighbours and their distance in Å.
Fractional coordinates of all 10 atoms:
I  0.9910  0.5423  0.9813  1 Bi 2.86
I  0.4938  0.3621  0.8012  1 Bi 2.86
I  0.4792  0.9074  0.7285  1 Bi 3.06
I  0.0052  0.9968  0.0532  1 Bi 3.06
I  0.4503  0.3070  0.3314  1 Bi 3.10
I  0.0346  0.5974  0.4508  1 Bi 3.10
Rb  0.5252  0.7133  0.1563  8 I 3.86-4.14
Rb  0.9592  0.1912  0.6258  8 I 3.86-4.14
Bi  0.6859  0.2165  0.0958  3 I 2.86-3.10
Bi  0.7991  0.6877  0.6867  3 I 2.86-3.10

Entry 8:
RbBiI3 | PBE | optimized geometry

Computed properties:
distance to the lowest polymorph of the same formula = 890 meV/atom
calculated volume = 59.42 Å³/atom

a b c (Å): 6.6726 6.6726 6.6726
angles (deg): 90.00 90.00 90.00
Last column: nearest neighbours and their distance in Å.
Fractional coordinates of all 5 atoms:
Bi  0.5000  0.5000  0.5000  12 I 4.72
I  0.5000  0.0000  0.0000  2 Rb 3.34
I  0.0000  0.0000  0.5000  2 Rb 3.34
I  0.0000  0.5000  0.0000  2 Rb 3.34
Rb  0.0000  0.0000  0.0000  6 I 3.34

Entry 9:
RbBi2I6 | PBE | optimized geometry

Computed properties:
calculated volume = 65.47 Å³/atom
E = -2.579 eV per atom

a b c (Å): 12.5031 10.7007 10.7007
angles (deg): 84.30 65.38 65.38
Last column: nearest neighbours and their distance in Å.
Fractional coordinates of all 18 atoms:
I  0.8445  0.8775  0.3738  1 Bi 2.87
I  0.5394  0.6425  0.5909  3 Bi 3.26
I  0.4606  0.3575  0.4091  3 Bi 3.26
I  0.6555  0.6262  0.1225  1 Bi 2.87
I  0.1555  0.1225  0.6262  1 Bi 2.87
I  0.3823  0.1049  0.1827  1 Bi 2.99
I  0.1177  0.8173  0.8951  1 Bi 2.99
I  0.0394  0.5909  0.6425  3 Bi 3.26
I  0.3445  0.3738  0.8775  1 Bi 2.87
I  0.9606  0.4091  0.3575  3 Bi 3.26
I  0.6177  0.8951  0.8173  1 Bi 2.99
I  0.8823  0.1827  0.1049  1 Bi 2.99
Rb  0.2500  0.0719  0.9281  6 I 3.80-3.84
Rb  0.7500  0.9281  0.0719  6 I 3.80-3.84
Bi  0.7121  0.4281  0.3132  2 I 2.87-2.99
Bi  0.2879  0.5719  0.6868  2 I 2.87-2.99
Bi  0.2121  0.3132  0.4281  2 I 2.87-2.99
Bi  0.7879  0.6868  0.5719  2 I 2.87-2.99

Entry 10:
Rb8Bi2I | PBE | optimized geometry

Computed properties:
calculated volume = 53.22 Å³/atom
E = -1.996 eV per atom

a b c (Å): 6.5175 9.1613 11.3019
angles (deg): 113.91 106.76 90.00
Last column: nearest neighbours and their distance in Å.
Fractional coordinates of all 11 atoms:
Bi  0.8184  0.3184  0.6367  10 Rb 3.94-4.13
Bi  0.1816  0.6816  0.3633  10 Rb 3.94-4.13
I  0.5000  0.0000  0.0000  8 Rb 3.85-4.20
Rb  0.3483  0.1155  0.6966  3 Rb 3.79-4.14, 1 I 3.85, 3 Bi 3.94-4.08
Rb  0.0000  0.2890  0.0000  1 Rb 3.87, 2 Bi 4.05, 2 I 4.20
Rb  0.8112  0.8112  0.6224  6 Rb 3.79-4.14, 2 Bi 4.13
Rb  0.0000  0.7110  0.0000  1 Rb 3.87, 2 Bi 4.05, 2 I 4.20
Rb  0.6517  0.4189  0.3034  3 Rb 3.79-4.14, 1 I 3.85, 3 Bi 3.94-4.08
Rb  0.1888  0.1888  0.3776  6 Rb 3.79-4.14, 2 Bi 4.13
Rb  0.6517  0.8845  0.3034  3 Rb 3.79-4.14, 1 I 3.85, 3 Bi 3.94-4.08
Rb  0.3483  0.5811  0.6966  3 Rb 3.79-4.14, 1 I 3.85, 3 Bi 3.94-4.08

calculated volume of number 6 (Rb2BiI6)?
49.32 Å³/atom